1.
VASP calculation (PBE-GGA) on an optimized crystal structure of Li4Sn5Hg.

Properties
E_form ... -237 meV/atom
Total moment ... 0.000 μB per formula unit
Uncorrected energy ... -3.0337 eV per atom

a b c (Å): 3.0665 3.0665 23.6809
angles (deg): 90.00 90.00 90.00
Closest atoms and distances in Å follow each position.
Space group P4/mmm (No. 123)
One atom of each set of equivalent atoms:
1 Li 0.0000 0.0000 0.0939 [2 per cell]  4 Li 3.07, 8 Sn 3.11-3.12
2 Li 0.0000 0.0000 0.2809 [2 per cell]  4 Li 3.07, 8 Sn 3.08-3.12
3 Sn 0.5000 0.5000 0.0000 [1 per cell]  4 Sn 3.07, 8 Li 3.11
4 Sn 0.5000 0.5000 0.1884 [2 per cell]  4 Sn 3.07, 8 Li 3.08-3.12
5 Sn 0.5000 0.5000 0.3760 [2 per cell]  4 Sn 3.07, 4 Li 3.12
6 Hg 0.0000 0.0000 0.5000 [1 per cell]  4 Hg 3.07

***

2.
VASP calculation (PBE-GGA) on an optimized crystal structure of BaBeHg3.

Properties
ΔE to the lowest computed polymorph ... 0.995 eV/atom
E_form ... 830 meV/atom
Total moment ... 0.000 μB per formula unit
Uncorrected energy ... -0.4813 eV per atom

a b c (Å): 6.7618 6.7618 6.7618
angles (deg): 90.00 90.00 90.00
Closest atoms and distances in Å follow each position.
Space group Pm-3m (No. 221)
One atom of each set of equivalent atoms:
1 Ba 0.0000 0.0000 0.0000 [1 per cell]  6 Hg 3.38
2 Be 0.5000 0.5000 0.5000 [1 per cell]  12 Hg 4.78
3 Hg 0.0000 0.0000 0.5000 [3 per cell]  2 Ba 3.38

***

> Number 1 is which compound?

Li4Sn5Hg